Record 1
An optimized crystal structure of Be2PtPb, computed with PBEsol.

* E_form: 35.37 kJ per mole of atoms

Geometry as CIF:
```
data_Be2PtPb
_symmetry_space_group_name_H-M 'C 1 2/m 1'
_symmetry_Int_Tables_number 12
_symmetry_space_group_name_Hall '-C 2y'
_cell_length_a 5.395
_cell_length_b 8.301
_cell_length_c 3.360
_cell_angle_alpha 90.00
_cell_angle_beta 121.48
_cell_angle_gamma 90.00
loop_
_atom_site_label
_atom_site_type_symbol
_atom_site_fract_x
_atom_site_fract_y
_atom_site_fract_z
_atom_site_occupancy
Be1 Be 0.250 0.250 0.000 1
Pt1 Pt 0.000 0.000 0.000 1
Pb1 Pb 0.000 0.500 0.000 1
```


Record 2
An optimized crystal structure of LaZn3P, computed with PBEsol.

* E_form: 6.86 kJ per mole of atoms

Geometry as CIF:
```
data_LaZn3P
_symmetry_space_group_name_H-M 'P m -3 m'
_symmetry_Int_Tables_number 221
_symmetry_space_group_name_Hall '-P 4 2 3'
_cell_length_a 4.688
_cell_length_b 4.688
_cell_length_c 4.688
_cell_angle_alpha 90.00
_cell_angle_beta 90.00
_cell_angle_gamma 90.00
loop_
_atom_site_label
_atom_site_type_symbol
_atom_site_fract_x
_atom_site_fract_y
_atom_site_fract_z
_atom_site_occupancy
La1 La 0.000 0.000 0.000 1
Zn1 Zn 0.000 0.500 0.500 1
P1 P 0.500 0.500 0.500 1
```


Record 3
An optimized crystal structure of MgCd2P, computed with PBEsol.

* E_form: -1.54 kJ per mole of atoms

Geometry as CIF:
```
data_MgCd2P
_symmetry_space_group_name_H-M 'P 4/m m m'
_symmetry_Int_Tables_number 123
_symmetry_space_group_name_Hall '-P 4 2'
_cell_length_a 3.985
_cell_length_b 3.985
_cell_length_c 4.928
_cell_angle_alpha 90.00
_cell_angle_beta 90.00
_cell_angle_gamma 90.00
loop_
_atom_site_label
_atom_site_type_symbol
_atom_site_fract_x
_atom_site_fract_y
_atom_site_fract_z
_atom_site_occupancy
Mg1 Mg 0.000 0.000 0.000 1
Cd1 Cd 0.000 0.500 0.500 1
P1 P 0.500 0.500 0.000 1
```


Record 4
An optimized crystal structure of HgMo2AuN, computed with PBEsol.

* uncorrected formation energy: 16.5 eV/f.u.

Geometry as CIF:
```
data_HgMo2AuN
_symmetry_space_group_name_H-M 'P 4/m m m'
_symmetry_Int_Tables_number 123
_symmetry_space_group_name_Hall '-P 4 2'
_cell_length_a 5.232
_cell_length_b 5.232
_cell_length_c 5.086
_cell_angle_alpha 90.00
_cell_angle_beta 90.00
_cell_angle_gamma 90.00
loop_
_atom_site_label
_atom_site_type_symbol
_atom_site_fract_x
_atom_site_fract_y
_atom_site_fract_z
_atom_site_occupancy
Hg1 Hg 0.000 0.000 0.000 1
Mo1 Mo 0.000 0.500 0.000 1
Au1 Au 0.000 0.000 0.500 1
N1 N 0.500 0.500 0.500 1
```


Record 5
An optimized crystal structure of MoAu2I, computed with PBEsol.

* uncorrected formation energy: 4.0 eV/f.u.

Geometry as CIF:
```
data_MoAu2I
_symmetry_space_group_name_H-M 'F m -3 m'
_symmetry_Int_Tables_number 225
_symmetry_space_group_name_Hall '-F 4 2 3'
_cell_length_a 6.845
_cell_length_b 6.845
_cell_length_c 6.845
_cell_angle_alpha 90.00
_cell_angle_beta 90.00
_cell_angle_gamma 90.00
loop_
_atom_site_label
_atom_site_type_symbol
_atom_site_fract_x
_atom_site_fract_y
_atom_site_fract_z
_atom_site_occupancy
Mo1 Mo 0.000 0.000 0.000 1
Au1 Au 0.250 0.250 0.250 1
I1 I 0.000 0.000 0.500 1
```


Record 6
An optimized crystal structure of MnHg2Pd, computed with PBEsol.

* E_form: 4.42 kJ per mole of atoms

Geometry as CIF:
```
data_MnHg2Pd
_symmetry_space_group_name_H-M 'F m -3 m'
_symmetry_Int_Tables_number 225
_symmetry_space_group_name_Hall '-F 4 2 3'
_cell_length_a 6.476
_cell_length_b 6.476
_cell_length_c 6.476
_cell_angle_alpha 90.00
_cell_angle_beta 90.00
_cell_angle_gamma 90.00
loop_
_atom_site_label
_atom_site_type_symbol
_atom_site_fract_x
_atom_site_fract_y
_atom_site_fract_z
_atom_site_occupancy
Mn1 Mn 0.000 0.000 0.000 1
Hg1 Hg 0.250 0.250 0.250 1
Pd1 Pd 0.000 0.000 0.500 1
```


Number 1: calculated total energy -4.374 eV per atom. Number 2: calculated total energy -3.106 eV per atom. Number 3: calculated total energy -2.492 eV per atom. Number 4: calculated total energy -4.013 eV per atom. Number 5: calculated total energy -4.341 eV per atom. Number 6: calculated total energy -4.168 eV per atom.